Compound: HgRhIO2
Source: Alexandria
Functional: PBE-GGA
Structure: relaxed Values from VASP.

Computed properties:
Energy relative to the lowest polymorph listed for this composition, meV per atom: 748.6
Symmetry: No. 123
ΔE_f (raw), eV/atom: 0.75

The structure in Quantum ESPRESSO input format:
```
&SYSTEM
  ibrav = 0, nat = 5, ntyp = 4
/
ATOMIC_SPECIES
I 126.90 I.upf
Rh 102.91 Rh.upf
Hg 200.59 Hg.upf
O 16.00 O.upf
ATOMIC_POSITIONS crystal
I 0.0000 0.0000 0.5000
Rh 0.5000 0.5000 0.5000
Hg 0.0000 0.0000 0.0000
O 0.0000 0.5000 0.0000
O 0.5000 0.0000 0.0000
CELL_PARAMETERS angstrom
4.0808 0.0000 0.0000
0.0000 4.0808 0.0000
0.0000 0.0000 7.0206
```

Compound: Sm2ScSb2O2
Source: Alexandria
Functional: PBE-GGA
Structure: relaxed Values from VASP.

Computed properties:
Symmetry: No. 139
ΔE_f (raw), eV/atom: -2.03

The structure in Quantum ESPRESSO input format:
```
&SYSTEM
  ibrav = 0, nat = 7, ntyp = 4
/
ATOMIC_SPECIES
Sm 150.36 Sm.upf
Sc 44.96 Sc.upf
Sb 121.76 Sb.upf
O 16.00 O.upf
ATOMIC_POSITIONS crystal
Sm 0.3900 0.3900 0.7799
Sm 0.6100 0.6100 0.2201
Sc 0.0000 0.0000 0.0000
Sb 0.1878 0.1878 0.3755
Sb 0.8122 0.8122 0.6245
O 0.0000 0.5000 0.0000
O 0.5000 0.0000 0.0000
CELL_PARAMETERS angstrom
-3.3552 0.0216 -2.4763
2.2950 -1.5393 -3.1230
-1.2875 -6.8139 5.1964
```

Compound: Li5Tl6Hg
Source: Alexandria
Functional: PBE-GGA
Structure: relaxed Values from VASP.

Computed properties:
Energy relative to the elements, eV/atom: -0.17
Symmetry: No. 10

The structure in Quantum ESPRESSO input format:
```
&SYSTEM
  ibrav = 0, nat = 12, ntyp = 3
/
ATOMIC_SPECIES
Tl 204.38 Tl.upf
Hg 200.59 Hg.upf
Li 6.94 Li.upf
ATOMIC_POSITIONS crystal
Tl 0.8283 0.7443 0.3433
Tl 0.8282 0.2557 0.3433
Tl 0.5000 0.2698 0.0000
Tl 0.5000 0.7302 0.0000
Tl 0.1718 0.7443 0.6567
Tl 0.1717 0.2557 0.6567
Hg 0.0000 0.0000 0.0000
Li 0.6654 0.5000 0.6690
Li 0.3404 0.0000 0.3197
Li 0.0000 0.5000 0.0000
Li 0.6596 0.0000 0.6803
Li 0.3346 0.5000 0.3310
CELL_PARAMETERS angstrom
4.6421 -0.0268 1.5790
0.0389 7.4996 0.0129
0.0426 -0.0136 7.7709
```

Compound: K2AgICl6
Source: Alexandria
Functional: PBE-GGA
Structure: relaxed Values from VASP.

Computed properties:
Symmetry: No. 12
ΔE_f (raw), eV/atom: -0.92

The structure in Quantum ESPRESSO input format:
```
&SYSTEM
  ibrav = 0, nat = 10, ntyp = 4
/
ATOMIC_SPECIES
K 39.10 K.upf
Ag 107.87 Ag.upf
I 126.90 I.upf
Cl 35.45 Cl.upf
ATOMIC_POSITIONS crystal
K 0.7500 0.2506 0.4994
K 0.2500 0.7494 0.5006
Ag 0.0000 0.0000 0.0000
I 0.5000 0.5000 0.0000
Cl 0.2070 0.2070 0.5869
Cl 0.7412 0.7407 0.0006
Cl 0.2589 0.7413 0.0000
Cl 0.7411 0.2587 0.0000
Cl 0.2588 0.2593 0.9995
Cl 0.7930 0.7930 0.4131
CELL_PARAMETERS angstrom
-6.0507 1.2608 -4.2916
-1.1365 -7.4185 -0.5772
-6.9989 -2.9471 2.3789
```

Compound: CuSb2Cl8
Source: Alexandria
Functional: PBE-GGA
Structure: relaxed Values from VASP.

Computed properties:
Energy relative to the lowest polymorph listed for this composition, meV per atom: 0.0
Symmetry: No. 12
ΔE_f (raw), eV/atom: -0.67

The structure in Quantum ESPRESSO input format:
```
&SYSTEM
  ibrav = 0, nat = 11, ntyp = 3
/
ATOMIC_SPECIES
Sb 121.76 Sb.upf
Cu 63.55 Cu.upf
Cl 35.45 Cl.upf
ATOMIC_POSITIONS crystal
Sb 0.9088 0.8176 0.6066
Sb 0.0912 0.1824 0.3934
Cu 0.0000 0.0000 0.0000
Cl 0.7723 0.0389 0.1634
Cl 0.2666 0.0388 0.1634
Cl 0.2277 0.9611 0.8366
Cl 0.3413 0.6825 0.4849
Cl 0.7334 0.9612 0.8366
Cl 0.8546 0.7092 0.2842
Cl 0.1454 0.2908 0.7158
Cl 0.6587 0.3175 0.5151
CELL_PARAMETERS angstrom
-0.7983 -2.6172 5.6639
-5.5526 -0.8543 -4.6702
9.9281 -4.7183 -0.7810
```

Compound: CoNi8Rh2
Source: Alexandria
Functional: PBE-GGA
Structure: relaxed Values from VASP.

Computed properties:
Energy relative to the lowest polymorph listed for this composition, meV per atom: 244.9
Energy relative to the elements, eV/atom: 0.45
Symmetry: No. 12

The structure in Quantum ESPRESSO input format:
```
&SYSTEM
  ibrav = 0, nat = 11, ntyp = 3
/
ATOMIC_SPECIES
Co 58.93 Co.upf
Ni 58.69 Ni.upf
Rh 102.91 Rh.upf
ATOMIC_POSITIONS crystal
Co 0.0000 0.0000 0.0000
Ni 0.8001 0.1727 0.6679
Ni 0.1999 0.3321 0.8273
Ni 0.8736 0.2788 0.2788
Ni 0.1264 0.7212 0.7212
Ni 0.8001 0.6679 0.1727
Ni 0.1999 0.8273 0.3321
Ni 0.2913 0.4293 0.4293
Ni 0.7087 0.5707 0.5707
Rh 0.4475 0.1519 0.1519
Rh 0.5525 0.8481 0.8481
CELL_PARAMETERS angstrom
-2.6011 0.5935 3.3345
-5.4357 -0.7847 -2.5315
-0.9348 -5.6808 1.8509
```

Compound: Cu3GeBr
Source: Alexandria
Functional: PBE-GGA
Structure: relaxed Values from VASP.

Computed properties:
Energy relative to the lowest polymorph listed for this composition, meV per atom: 0.0
Symmetry: No. 221
ΔE_f (raw), eV/atom: 0.58

The structure in Quantum ESPRESSO input format:
```
&SYSTEM
  ibrav = 0, nat = 5, ntyp = 3
/
ATOMIC_SPECIES
Ge 72.64 Ge.upf
Cu 63.55 Cu.upf
Br 79.90 Br.upf
ATOMIC_POSITIONS crystal
Ge 0.0000 0.0000 0.0000
Cu 0.0000 0.5000 0.0000
Cu 0.0000 0.0000 0.5000
Cu 0.5000 0.0000 0.0000
Br 0.5000 0.5000 0.5000
CELL_PARAMETERS angstrom
4.6489 0.0000 0.0000
0.0000 4.6489 0.0000
0.0000 0.0000 4.6489
```

Compound: GaGeTe4
Source: Alexandria
Functional: PBE-GGA
Structure: relaxed Values from VASP.

Computed properties:
Symmetry: No. 82
ΔE_f (raw), eV/atom: -0.07

The structure in Quantum ESPRESSO input format:
```
&SYSTEM
  ibrav = 0, nat = 6, ntyp = 3
/
ATOMIC_SPECIES
Ga 69.72 Ga.upf
Ge 72.64 Ge.upf
Te 127.60 Te.upf
ATOMIC_POSITIONS crystal
Ga 0.7500 0.2500 0.5000
Ge 0.5000 0.5000 0.0000
Te 0.3423 0.8692 0.2585
Te 0.9161 0.3893 0.2585
Te 0.1308 0.0839 0.7415
Te 0.6107 0.6577 0.7415
CELL_PARAMETERS angstrom
5.9168 0.0000 0.0000
0.0000 5.9168 0.0000
-2.9584 -2.9584 5.5967
```

Compound: YSiI
Source: Alexandria
Functional: PBE-GGA
Structure: relaxed Values from VASP.

Computed properties:
Symmetry: No. 12
ΔE_f (raw), eV/atom: -0.92

The structure in Quantum ESPRESSO input format:
```
&SYSTEM
  ibrav = 0, nat = 6, ntyp = 3
/
ATOMIC_SPECIES
Y 88.91 Y.upf
Si 28.09 Si.upf
I 126.90 I.upf
ATOMIC_POSITIONS crystal
Y 0.7935 0.0973 0.3158
Y 0.2065 0.9027 0.6842
Si 0.6401 0.1812 0.5385
Si 0.3599 0.8188 0.4615
I 0.2352 0.3715 0.1581
I 0.7648 0.6285 0.8419
CELL_PARAMETERS angstrom
3.9309 0.0000 0.0000
1.9654 3.3965 -0.2434
1.9654 -0.3292 13.3143
```

Compound: La2Pm2Sm
Source: Alexandria
Functional: PBE-GGA
Structure: relaxed Values from VASP.

Computed properties:
Energy relative to the lowest polymorph listed for this composition, meV per atom: 225.7
Energy relative to the elements, eV/atom: 0.33
Symmetry: No. 139

The structure in Quantum ESPRESSO input format:
```
&SYSTEM
  ibrav = 0, nat = 5, ntyp = 3
/
ATOMIC_SPECIES
La 138.91 La.upf
Pm 145.00 Pm.upf
Sm 150.36 Sm.upf
ATOMIC_POSITIONS crystal
La 0.4075 0.4075 0.8151
La 0.5925 0.5925 0.1849
Pm 0.7500 0.2500 0.5000
Pm 0.2500 0.7500 0.5000
Sm 0.0000 0.0000 0.0000
CELL_PARAMETERS angstrom
-4.0574 0.7377 2.2656
-1.6497 -4.0980 -1.6201
5.9188 -2.2271 6.4391
```

Compound: RbCaAgO2
Source: Alexandria
Functional: PBE-GGA
Structure: relaxed Values from VASP.

Computed properties:
Energy relative to the lowest polymorph listed for this composition, meV per atom: 0.0
Symmetry: No. 67
ΔE_f (raw), eV/atom: -1.45

The structure in Quantum ESPRESSO input format:
```
&SYSTEM
  ibrav = 0, nat = 10, ntyp = 4
/
ATOMIC_SPECIES
Rb 85.47 Rb.upf
Ca 40.08 Ca.upf
Ag 107.87 Ag.upf
O 16.00 O.upf
ATOMIC_POSITIONS crystal
Rb 0.2793 0.7500 0.5000
Rb 0.7207 0.2500 0.5000
Ca 0.5000 0.7500 0.0000
Ca 0.5000 0.2500 0.0000
Ag 0.0000 0.0000 0.0000
Ag 0.0000 0.5000 0.0000
O 0.6880 0.9057 0.8113
O 0.6880 0.5943 0.1887
O 0.3120 0.4057 0.8113
O 0.3120 0.0943 0.1887
CELL_PARAMETERS angstrom
5.3916 0.0000 0.0000
0.0000 6.4947 0.0000
0.0000 -3.2473 6.5187
```

Compound: CaSn2PbSe4
Source: Alexandria
Functional: PBE-GGA
Structure: relaxed Values from VASP.

Computed properties:
Symmetry: No. 10
ΔE_f (raw), eV/atom: -0.84

The structure in Quantum ESPRESSO input format:
```
&SYSTEM
  ibrav = 0, nat = 8, ntyp = 4
/
ATOMIC_SPECIES
Ca 40.08 Ca.upf
Sn 118.71 Sn.upf
Pb 207.20 Pb.upf
Se 78.96 Se.upf
ATOMIC_POSITIONS crystal
Ca 0.0000 0.5000 0.5000
Sn 0.0000 0.0000 0.0000
Sn 0.5000 0.0000 0.5000
Pb 0.5000 0.5000 0.0000
Se 0.0000 0.7528 0.7415
Se 0.0000 0.2472 0.2585
Se 0.5000 0.7478 0.2582
Se 0.5000 0.2522 0.7418
CELL_PARAMETERS angstrom
-0.1795 4.0162 -1.5203
-7.4513 -0.4248 -0.2426
-2.8259 2.3347 6.5010
```

Compound: DyPu3Mn3
Source: Alexandria
Functional: PBE-GGA
Structure: relaxed Values from VASP.

Computed properties:
Energy relative to the elements, eV/atom: 0.64
Symmetry: No. 223

The structure in Quantum ESPRESSO input format:
```
&SYSTEM
  ibrav = 0, nat = 14, ntyp = 3
/
ATOMIC_SPECIES
Dy 162.50 Dy.upf
Mn 54.94 Mn.upf
Pu 244.00 Pu.upf
ATOMIC_POSITIONS crystal
Dy 0.5000 0.5000 0.5000
Dy 0.0000 0.0000 0.0000
Mn 0.0000 0.2500 0.5000
Mn 0.0000 0.7500 0.5000
Mn 0.5000 0.0000 0.7500
Mn 0.7500 0.5000 0.0000
Mn 0.5000 0.0000 0.2500
Mn 0.2500 0.5000 0.0000
Pu 0.2500 0.0000 0.5000
Pu 0.0000 0.5000 0.2500
Pu 0.5000 0.7500 0.0000
Pu 0.7500 0.0000 0.5000
Pu 0.0000 0.5000 0.7500
Pu 0.5000 0.2500 0.0000
CELL_PARAMETERS angstrom
-2.8758 2.5255 -5.5671
3.6784 -4.1990 -3.8050
-4.8826 -4.6509 0.4124
```

Compound: RbPbSeN2
Source: Alexandria
Functional: PBE-GGA
Structure: relaxed Values from VASP.

Computed properties:
Energy relative to the lowest polymorph listed for this composition, meV per atom: 781.0
Symmetry: No. 123
ΔE_f (raw), eV/atom: 1.84

The structure in Quantum ESPRESSO input format:
```
&SYSTEM
  ibrav = 0, nat = 5, ntyp = 4
/
ATOMIC_SPECIES
Pb 207.20 Pb.upf
Se 78.96 Se.upf
Rb 85.47 Rb.upf
N 14.01 N.upf
ATOMIC_POSITIONS crystal
Pb 0.5000 0.5000 0.5000
Se 0.0000 0.0000 0.5000
Rb 0.0000 0.0000 0.0000
N 0.0000 0.5000 0.0000
N 0.5000 0.0000 0.0000
CELL_PARAMETERS angstrom
-2.0208 -1.6512 4.2742
-3.8115 -1.9870 -2.5697
3.3292 -5.6160 -0.5956
```

Compound: As2IrOsBr
Source: Alexandria
Functional: PBE-GGA
Structure: relaxed Values from VASP.

Computed properties:
Energy relative to the lowest polymorph listed for this composition, meV per atom: 0.0
Symmetry: No. 123
ΔE_f (raw), eV/atom: 1.33

The structure in Quantum ESPRESSO input format:
```
&SYSTEM
  ibrav = 0, nat = 5, ntyp = 4
/
ATOMIC_SPECIES
As 74.92 As.upf
Ir 192.22 Ir.upf
Os 190.23 Os.upf
Br 79.90 Br.upf
ATOMIC_POSITIONS crystal
As 0.0000 0.5000 0.0000
As 0.5000 0.0000 0.0000
Ir 0.5000 0.5000 0.5000
Os 0.0000 0.0000 0.0000
Br 0.0000 0.0000 0.5000
CELL_PARAMETERS angstrom
-0.7933 -0.2286 4.5937
4.5451 -0.7529 0.7475
0.7731 5.0490 0.3848
```

Compound: Cs3Ag2I4Br2
Source: Alexandria
Functional: PBE-GGA
Structure: relaxed Values from VASP.

Computed properties:
Symmetry: No. 139
ΔE_f (raw), eV/atom: -1.01

The structure in Quantum ESPRESSO input format:
```
&SYSTEM
  ibrav = 0, nat = 11, ntyp = 4
/
ATOMIC_SPECIES
Cs 132.91 Cs.upf
Ag 107.87 Ag.upf
I 126.90 I.upf
Br 79.90 Br.upf
ATOMIC_POSITIONS crystal
Cs 0.0000 0.0000 0.0000
Cs 0.1855 0.1855 0.3709
Cs 0.8145 0.8145 0.6291
Ag 0.3904 0.3904 0.7809
Ag 0.6096 0.6096 0.2191
I 0.4120 0.9120 0.8240
I 0.9120 0.4120 0.8240
I 0.0880 0.5880 0.1760
I 0.5880 0.0880 0.1760
Br 0.3016 0.3016 0.6032
Br 0.6984 0.6984 0.3968
CELL_PARAMETERS angstrom
-1.2726 -4.2821 -3.4633
5.3434 -1.8208 0.2877
-5.7070 -5.7843 13.8615
```

Compound: K3Dy3ReO8
Source: Alexandria
Functional: PBE-GGA
Structure: relaxed Values from VASP.

Computed properties:
Symmetry: No. 166
ΔE_f (raw), eV/atom: -2.46

The structure in Quantum ESPRESSO input format:
```
&SYSTEM
  ibrav = 0, nat = 15, ntyp = 4
/
ATOMIC_SPECIES
K 39.10 K.upf
Dy 162.50 Dy.upf
Re 186.21 Re.upf
O 16.00 O.upf
ATOMIC_POSITIONS crystal
K 0.0000 0.0000 0.0000
K 0.0000 0.5000 0.0000
K 0.5000 0.5000 0.0000
Dy 0.5000 0.0000 0.5000
Dy 0.5000 0.5000 0.5000
Dy 0.0000 0.5000 0.5000
Re 0.0000 0.0000 0.5000
O 0.2724 0.5448 0.3173
O 0.7276 0.4552 0.6827
O 0.7886 0.5771 0.3267
O 0.2114 0.4229 0.6733
O 0.7886 0.0381 0.3267
O 0.2114 0.9619 0.6733
O 0.2495 0.0381 0.3267
O 0.7505 0.9619 0.6733
CELL_PARAMETERS angstrom
-4.5770 2.7054 4.2183
-1.0055 -6.1982 -2.5757
5.2180 0.7051 5.2095
```

Compound: La2Er
Source: Alexandria
Functional: PBE-GGA
Structure: relaxed Values from VASP.

Computed properties:
Energy relative to the lowest polymorph listed for this composition, meV per atom: 0.0
Energy relative to the elements, eV/atom: 0.03
Symmetry: No. 139

The structure in Quantum ESPRESSO input format:
```
&SYSTEM
  ibrav = 0, nat = 3, ntyp = 2
/
ATOMIC_SPECIES
La 138.91 La.upf
Er 167.26 Er.upf
ATOMIC_POSITIONS crystal
La 0.6640 0.6640 0.3280
La 0.3360 0.3360 0.6720
Er 0.0000 0.0000 0.0000
CELL_PARAMETERS angstrom
3.6999 0.0000 0.0000
0.0000 3.6999 0.0000
-1.8500 -1.8500 7.6575
```

Compound: Tb2Dy7Ho2
Source: Alexandria
Functional: PBE-GGA
Structure: relaxed Values from VASP.

Computed properties:
Energy relative to the lowest polymorph listed for this composition, meV per atom: 0.0
Energy relative to the elements, eV/atom: 0.11
Symmetry: No. 12

The structure in Quantum ESPRESSO input format:
```
&SYSTEM
  ibrav = 0, nat = 11, ntyp = 3
/
ATOMIC_SPECIES
Tb 158.93 Tb.upf
Dy 162.50 Dy.upf
Ho 164.93 Ho.upf
ATOMIC_POSITIONS crystal
Tb 0.5000 0.3235 0.6765
Tb 0.5000 0.6765 0.3235
Dy 0.2086 0.0814 0.4470
Dy 0.7914 0.5530 0.9186
Dy 0.7914 0.9186 0.5530
Dy 0.2086 0.4470 0.0814
Dy 0.0000 0.0000 0.0000
Dy 0.4078 0.8493 0.8493
Dy 0.5922 0.1507 0.1507
Ho 0.8566 0.3940 0.3940
Ho 0.1434 0.6060 0.6060
CELL_PARAMETERS angstrom
8.5046 0.7852 1.1331
0.1522 6.3796 0.9769
0.1522 -1.3257 6.3164
```

Compound: LiCe2Pu
Source: Alexandria
Functional: PBE-GGA
Structure: relaxed Values from VASP.

Computed properties:
Energy relative to the lowest polymorph listed for this composition, meV per atom: 10.1
Energy relative to the elements, eV/atom: 0.17
Symmetry: No. 123

The structure in Quantum ESPRESSO input format:
```
&SYSTEM
  ibrav = 0, nat = 4, ntyp = 3
/
ATOMIC_SPECIES
Li 6.94 Li.upf
Ce 140.12 Ce.upf
Pu 244.00 Pu.upf
ATOMIC_POSITIONS crystal
Li 0.5000 0.5000 0.5000
Ce 0.0000 0.0000 0.7621
Ce 0.0000 0.0000 0.2379
Pu 0.5000 0.5000 0.0000
CELL_PARAMETERS angstrom
3.2476 0.0000 0.0000
0.0000 3.2476 0.0000
0.0000 0.0000 9.5199
```